Density functional theory data (PBE) for an optimized crystal structure of LaAl2Br.

Computed properties:
- Distance to the lowest polymorph of the same formula: 575 meV per atom
- Energy relative to the elements, uncorrected: -0.0149 eV/atom
- Total moment: 0.00 μB/atom

Lattice parameters (Å, degrees): 3.487 3.487 8.326 90.00 90.00 90.00
Positions (direct):
La: 0.000 0.000 0.000
Al: 0.500 0.500 0.259
Al: 0.500 0.500 0.741
Br: 0.000 0.000 0.500

---

Density functional theory data (PBE) for an optimized crystal structure of LaZn2Cu.

Computed properties:
- E_form: -0.099 eV/atom
- Total moment: 0.00 μB/atom

Lattice parameters (Å, degrees): 3.518 4.079 6.091 90.00 106.38 90.00
Positions (direct):
La: 0.000 0.000 0.000
Zn: 0.272 0.000 0.525
Zn: 0.703 0.500 0.396
Cu: 0.379 0.500 0.753

---

Density functional theory data (PBE) for an optimized crystal structure of Ac3Ru.

Computed properties:
- Distance to the lowest polymorph of the same formula: 96 meV per atom
- E_form: -0.036 eV/atom
- Total moment: 0.00 μB/atom

Lattice parameters (Å, degrees): 6.818 6.818 6.818 146.09 67.95 123.05
Positions (direct):
Ac: 0.000 0.000 0.000
Ac: 0.334 0.517 0.817
Ac: 0.700 0.517 0.183
Ru: 0.628 0.128 0.500